Entry P
Below is a relaxed Y3HoEr7 crystal, with properties calculated at the PBE level.

Values from the calculation:
The density of states at the Fermi level comes out at 1.782 states/eV per atom.

a = 6.9443 Å, b = 5.4809 Å, c = 9.8331 Å
α = 90.00°, β = 110.09°, γ = 90.00°
Space group P2/m (No. 10)
Unique sites:
Y1 0.0000 0.0000 0.0000
Y2 0.2780 0.5000 0.4972
Ho1 0.5000 0.0000 0.0000
Er1 0.0000 0.0000 0.5000
Er2 0.1491 0.5000 0.7921
Er3 0.3205 0.5000 0.1407
Er4 0.4206 0.0000 0.3302

=====

Entry Q
Below is a relaxed Y3HoEr7 crystal, with properties calculated at the PBE level.

Values from the calculation:
The density of states at the Fermi level comes out at 1.466 states/eV per atom.

a = 12.5368 Å, b = 11.0782 Å, c = 5.7432 Å
α = 90.00°, β = 117.20°, γ = 90.00°
Space group C2/m (No. 12)
Unique sites:
Y1 0.0000 0.0000 0.0000
Y2 0.0000 0.2076 0.5000
Ho1 0.0000 0.5000 0.0000
Er1 0.0000 0.5000 0.5000
Er2 0.2019 0.1990 0.2017
Er3 0.2095 0.0000 0.7084

=====

entry P takes first place; second place is 0.123 eV/atom up.

=====

Entry P
Below is a relaxed Y12HoEr6 crystal, with properties calculated at the PBE level.

Values from the calculation:
The density of states at the Fermi level comes out at 1.857 states/eV per atom.

a = 11.8285 Å, b = 11.8285 Å, c = 15.3005 Å
α = 90.00°, β = 90.00°, γ = 120.00°
Space group R-3 (No. 148, hexagonal axes)
Unique sites:
Y1 0.0102 0.8308 0.1904
Y2 0.0428 0.8506 0.4148
Ho1 0.0000 0.0000 0.0000
Er1 0.0134 0.4256 0.6813

=====

Entry Q
Below is a relaxed Y12HoEr6 crystal, with properties calculated at the PBE level.

Values from the calculation:
The density of states at the Fermi level comes out at 1.720 states/eV per atom.

a = 14.6068 Å, b = 14.6068 Å, c = 10.3167 Å
α = 90.00°, β = 90.00°, γ = 120.00°
Space group R-3 (No. 148, hexagonal axes)
Unique sites:
Y1 0.0551 0.7997 0.0810
Y2 0.0657 0.8395 0.4170
Ho1 0.0000 0.0000 0.0000
Er1 0.0529 0.8385 0.7618

=====

entry P takes first place; second place is 0.108 eV/atom up.

=====

Entry P
Below is a relaxed Y7Ho3Er crystal, with properties calculated at the PBE level.

Values from the calculation:
The density of states at the Fermi level comes out at 1.805 states/eV per atom.

a = 6.9250 Å, b = 5.5266 Å, c = 9.9713 Å
α = 90.00°, β = 110.04°, γ = 90.00°
Space group P2/m (No. 10)
Unique sites:
Y1 0.0000 0.0000 0.0000
Y2 0.1464 0.5000 0.2895
Y3 0.3185 0.5000 0.6378
Y4 0.4176 0.0000 0.8301
Ho1 0.0000 0.0000 0.5000
Ho2 0.2787 0.5000 0.9986
Er1 0.5000 0.0000 0.5000

=====

Entry Q
Below is a relaxed Y7Ho3Er crystal, with properties calculated at the PBE level.

Values from the calculation:
The density of states at the Fermi level comes out at 1.451 states/eV per atom.

a = 12.5379 Å, b = 11.2350 Å, c = 5.7840 Å
α = 90.00°, β = 117.38°, γ = 90.00°
Space group C2/m (No. 12)
Unique sites:
Y1 0.0000 0.0000 0.0000
Y2 0.1962 0.2967 0.6959
Y3 0.2068 0.5000 0.2052
Ho1 0.0000 0.2921 0.0000
Ho2 0.0000 0.5000 0.5000
Er1 0.0000 0.0000 0.5000

=====

entry P takes first place; second place is 0.123 eV/atom up.

=====

Entry P
Below is a relaxed YHo4Er5 crystal, with properties calculated at the PBE level.

Values from the calculation:
The density of states at the Fermi level comes out at 1.428 states/eV per atom.

a = 10.1247 Å, b = 10.1247 Å, c = 6.2474 Å
α = 90.00°, β = 90.00°, γ = 90.00°
Space group I4 (No. 79)
Unique sites:
Y1 0.0000 0.0000 0.0000
Ho1 0.0495 0.3479 0.7722
Er1 0.0000 0.0000 0.5403
Er2 0.1446 0.2334 0.2741

=====

Entry Q
Below is a relaxed YHo4Er5 crystal, with properties calculated at the PBE level.

Values from the calculation:
The density of states at the Fermi level comes out at 1.826 states/eV per atom.

a = 3.5293 Å, b = 6.6925 Å, c = 13.7910 Å
α = 82.75°, β = 89.86°, γ = 75.28°
Space group P-1 (No. 2)
Unique sites:
Y1 0.0000 0.0000 0.0000
Ho1 0.1138 0.2997 0.8061
Ho2 0.1858 0.1692 0.2130
Er1 0.1836 0.1261 0.5840
Er2 0.4613 0.5828 0.6146
Er3 0.5000 0.5000 0.0000

=====

entry Q takes first place; second place is 0.255 eV/atom up.

=====

Entry P
Below is a relaxed Y2Ho5Er2 crystal, with properties calculated at the PBE level.

Values from the calculation:
The density of states at the Fermi level comes out at 1.737 states/eV per atom.

a = 14.8133 Å, b = 11.6336 Å, c = 6.6860 Å
α = 90.00°, β = 90.00°, γ = 90.00°
Space group Ima2 (No. 46)
Unique sites:
Y1 0.1270 0.0061 0.0000
Ho1 0.0522 0.2427 0.3474
Ho2 0.1429 0.7379 0.1686
Ho3 0.2500 0.2418 0.6566
Er1 0.0000 0.0000 0.5506
Er2 0.2500 0.5146 0.9458

=====

Entry Q
Below is a relaxed Y2Ho5Er2 crystal, with properties calculated at the PBE level.

Values from the calculation:
The density of states at the Fermi level comes out at 2.188 states/eV per atom.

a = 16.2973 Å, b = 5.7336 Å, c = 6.3084 Å
α = 90.00°, β = 105.60°, γ = 90.00°
Space group C2/m (No. 12)
Unique sites:
Y1 0.0624 0.0000 0.2866
Ho1 0.0000 0.5000 0.5000
Ho2 0.1798 0.0000 0.8589
Ho3 0.2086 0.5000 0.5684
Er1 0.1014 0.5000 0.0162

=====

entry Q takes first place; second place is 0.105 eV/atom up.

=====

Entry P
Below is a relaxed Y5Ho5Er2 crystal, with properties calculated at the PBE level.

Values from the calculation:
The density of states at the Fermi level comes out at 1.368 states/eV per atom.

a = 15.0210 Å, b = 5.0056 Å, c = 11.1999 Å
α = 90.00°, β = 116.54°, γ = 90.00°
Space group C2/m (No. 12)
Unique sites:
Y1 0.0000 0.0000 0.0000
Y2 0.1655 0.0000 0.4994
Y3 0.2505 0.0000 0.2494
Ho1 0.0000 0.5000 0.5000
Ho2 0.0822 0.5000 0.2496
Ho3 0.1671 0.5000 0.0000
Er1 0.0834 0.0000 0.7511

=====

Entry Q
Below is a relaxed Y5Ho5Er2 crystal, with properties calculated at the PBE level.

Values from the calculation:
The density of states at the Fermi level comes out at 1.880 states/eV per atom.

a = 11.6793 Å, b = 5.6255 Å, c = 12.2476 Å
α = 90.00°, β = 109.44°, γ = 90.00°
Space group C2/m (No. 12)
Unique sites:
Y1 0.0000 0.0000 0.0000
Y2 0.0734 0.0000 0.7431
Y3 0.1939 0.0000 0.5309
Ho1 0.0000 0.5000 0.5000
Ho2 0.1903 0.5000 0.9740
Ho3 0.2428 0.0000 0.2731
Er1 0.0805 0.5000 0.2042

=====

entry P takes first place; second place is 0.081 eV/atom up.

=====

Entry P
Below is a relaxed Y7Ho2Er3 crystal, with properties calculated at the PBE level.

Values from the calculation:
The density of states at the Fermi level comes out at 1.733 states/eV per atom.

a = 6.1948 Å, b = 5.4982 Å, c = 11.9783 Å
α = 90.00°, β = 91.07°, γ = 90.00°
Space group P2/m (No. 10)
Unique sites:
Y1 0.0000 0.0000 0.0000
Y2 0.0873 0.5000 0.1687
Y3 0.2370 0.5000 0.4544
Y4 0.4404 0.0000 0.1798
Ho1 0.3926 0.5000 0.7226
Er1 0.0551 0.0000 0.6597
Er2 0.5000 0.5000 0.0000

=====

Entry Q
Below is a relaxed Y7Ho2Er3 crystal, with properties calculated at the PBE level.

Values from the calculation:
The density of states at the Fermi level comes out at 1.351 states/eV per atom.

a = 5.7672 Å, b = 3.5731 Å, c = 18.6124 Å
α = 90.00°, β = 93.65°, γ = 90.00°
Space group P2/m (No. 10)
Unique sites:
Y1 0.0000 0.0000 0.0000
Y2 0.1832 0.5000 0.1811
Y3 0.2580 0.5000 0.5366
Y4 0.3209 0.0000 0.8562
Ho1 0.2948 0.5000 0.7046
Er1 0.2189 0.0000 0.3673
Er2 0.5000 0.5000 0.0000

=====

entry Q takes first place; second place is 0.226 eV/atom up.

=====

Entry P
Below is a relaxed Y12Ho7Er crystal, with properties calculated at the PBE level.

Values from the calculation:
The density of states at the Fermi level comes out at 0.968 states/eV per atom.

a = 12.8088 Å, b = 12.8088 Å, c = 13.6417 Å
α = 90.00°, β = 90.00°, γ = 120.00°
Space group R-3 (No. 148, hexagonal axes)
Unique sites:
Y1 0.0033 0.5653 0.2477
Y2 0.0683 0.2004 0.8502
Ho1 0.0000 0.0000 0.0000
Ho2 0.0686 0.8698 0.3455
Er1 0.0000 0.0000 0.5000

=====

Entry Q
Below is a relaxed Y12Ho7Er crystal, with properties calculated at the PBE level.

Values from the calculation:
The density of states at the Fermi level comes out at 1.490 states/eV per atom.

a = 18.5952 Å, b = 18.5952 Å, c = 6.6872 Å
α = 90.00°, β = 90.00°, γ = 120.00°
Space group R-3 (No. 148, hexagonal axes)
Unique sites:
Y1 0.9997 0.2096 0.2063
Y2 0.0076 0.4697 0.2378
Ho1 0.0000 0.0000 0.0000
Ho2 0.0098 0.8543 0.2900
Er1 0.0000 0.0000 0.5000

=====

entry P takes first place; second place is 0.047 eV/atom up.